# Dy4CuHgAu2

A relaxed structure of Dy4CuHgAu2 (GGA-PBE, the Alexandria database).

Output
Calculated density   11.60 g cm⁻³
Calculated volume   23.397 A^3/atom
Formation energy from the elements   -4.8 eV per formula unit
DOS(E_F)   6.01 states/eV/cell
Space group   R-3m, No. 166
Crystal system   trigonal
Calculated total energy   -4.274 eV/atom

Lattice parameters (Å, degrees): 8.8386 8.8386 8.8386 33.48 33.48 33.48
Atoms (fractional coordinates):
Dy1 0.1202 0.1202 0.1202
Dy2 0.3709 0.3709 0.3709
Dy3 0.6291 0.6291 0.6291
Dy4 0.8798 0.8798 0.8798
Cu1 0.0000 0.0000 0.0000
Hg1 0.5000 0.5000 0.5000
Au1 0.2484 0.2484 0.2484
Au2 0.7516 0.7516 0.7516

=====

# DyInCuAu

A relaxed structure of DyInCuAu (GGA-PBE, the Alexandria database).

Output
Calculated density   11.16 g cm⁻³
Calculated volume   20.009 A^3/atom
Formation energy from the elements   -2.0 eV per formula unit
DOS(E_F)   7.87 states/eV/cell
Space group   F-43m, No. 216
Crystal system   cubic
Calculated total energy   -4.188 eV/atom

Lattice parameters (Å, degrees): 6.8409 6.8409 6.8409 90.00 90.00 90.00
Atoms (fractional coordinates):
Dy1 0.0000 0.0000 0.0000
Dy2 0.0000 0.5000 0.5000
Dy3 0.5000 0.0000 0.5000
Dy4 0.5000 0.5000 0.0000
In1 0.0000 0.0000 0.5000
In2 0.0000 0.5000 0.0000
In3 0.5000 0.0000 0.0000
In4 0.5000 0.5000 0.5000
Cu1 0.2500 0.2500 0.2500
Cu2 0.2500 0.7500 0.7500
Cu3 0.7500 0.2500 0.7500
Cu4 0.7500 0.7500 0.2500
Au1 0.2500 0.2500 0.7500
Au2 0.2500 0.7500 0.2500
Au3 0.7500 0.2500 0.2500
Au4 0.7500 0.7500 0.7500

=====

# LaDyCuAu

A relaxed structure of LaDyCuAu (GGA-PBE, the Alexandria database).

Output
Calculated density   9.62 g cm⁻³
Calculated volume   24.239 A^3/atom
Formation energy from the elements   -1.9 eV per formula unit
DOS(E_F)   16.25 states/eV/cell
Space group   F-43m, No. 216
Crystal system   cubic
Calculated total energy   -4.699 eV/atom

Lattice parameters (Å, degrees): 7.2926 7.2926 7.2926 90.00 90.00 90.00
Atoms (fractional coordinates):
La1 0.0000 0.0000 0.0000
La2 0.0000 0.5000 0.5000
La3 0.5000 0.0000 0.5000
La4 0.5000 0.5000 0.0000
Dy1 0.0000 0.0000 0.5000
Dy2 0.0000 0.5000 0.0000
Dy3 0.5000 0.0000 0.0000
Dy4 0.5000 0.5000 0.5000
Cu1 0.2500 0.2500 0.2500
Cu2 0.2500 0.7500 0.7500
Cu3 0.7500 0.2500 0.7500
Cu4 0.7500 0.7500 0.2500
Au1 0.2500 0.2500 0.7500
Au2 0.2500 0.7500 0.2500
Au3 0.7500 0.2500 0.2500
Au4 0.7500 0.7500 0.7500

=====

# LaDyCuAu

A relaxed structure of LaDyCuAu (GGA-PBE, the Alexandria database).

Output
Calculated density   9.39 g cm⁻³
Calculated volume   24.851 A^3/atom
Formation energy from the elements   -2.0 eV per formula unit
DOS(E_F)   5.80 states/eV/cell
Space group   Amm2, No. 38
Crystal system   orthorhombic
Calculated total energy   -4.738 eV/atom

Lattice parameters (Å, degrees): 4.6025 3.8495 11.2213 90.00 90.00 90.00
Atoms (fractional coordinates):
La1 0.0000 0.0000 0.0000
La2 0.0000 0.5000 0.5000
Dy1 0.5000 0.0000 0.7235
Dy2 0.5000 0.5000 0.2235
Cu1 0.5000 0.0000 0.4362
Cu2 0.5000 0.5000 0.9362
Au1 0.0000 0.0000 0.2795
Au2 0.0000 0.5000 0.7795

=====

# LiDyCuAu

A relaxed structure of LiDyCuAu (GGA-PBE, the Alexandria database).

Output
Calculated density   9.32 g cm⁻³
Calculated volume   19.151 A^3/atom
Formation energy from the elements   -1.6 eV per formula unit
DOS(E_F)   9.83 states/eV/cell
Space group   F-43m, No. 216
Crystal system   cubic
Calculated total energy   -3.874 eV/atom

Lattice parameters (Å, degrees): 6.7417 6.7417 6.7417 90.00 90.00 90.00
Atoms (fractional coordinates):
Li1 0.0000 0.0000 0.0000
Li2 0.0000 0.5000 0.5000
Li3 0.5000 0.0000 0.5000
Li4 0.5000 0.5000 0.0000
Dy1 0.0000 0.0000 0.5000
Dy2 0.0000 0.5000 0.0000
Dy3 0.5000 0.0000 0.0000
Dy4 0.5000 0.5000 0.5000
Cu1 0.2500 0.2500 0.7500
Cu2 0.2500 0.7500 0.2500
Cu3 0.7500 0.2500 0.2500
Cu4 0.7500 0.7500 0.7500
Au1 0.2500 0.2500 0.2500
Au2 0.2500 0.7500 0.7500
Au3 0.7500 0.2500 0.7500
Au4 0.7500 0.7500 0.2500

=====

# Li2DyCuAu4

A relaxed structure of Li2DyCuAu4 (GGA-PBE, the Alexandria database).

Output
Calculated density   11.90 g cm⁻³
Calculated volume   17.928 A^3/atom
Formation energy from the elements   -4.1 eV per formula unit
DOS(E_F)   3.44 states/eV/cell
Space group   R-3m, No. 166
Crystal system   trigonal
Calculated total energy   -3.716 eV/atom

Lattice parameters (Å, degrees): 8.6568 8.6568 8.6568 29.97 29.97 29.97
Atoms (fractional coordinates):
Li1 0.2373 0.2373 0.2373
Li2 0.7627 0.7627 0.7627
Dy1 0.0000 0.0000 0.0000
Cu1 0.5000 0.5000 0.5000
Au1 0.1271 0.1271 0.1271
Au2 0.3944 0.3944 0.3944
Au3 0.6056 0.6056 0.6056
Au4 0.8729 0.8729 0.8729

=====

> The lowest calculated volume belongs to which entry?

Li2DyCuAu4

=====

What did the second record say?
# DyInCuAu

A relaxed structure of DyInCuAu (GGA-PBE, the Alexandria database).

Output
Calculated density   11.16 g cm⁻³
Calculated volume   20.009 A^3/atom
Formation energy from the elements   -2.0 eV per formula unit
DOS(E_F)   7.87 states/eV/cell
Space group   F-43m, No. 216
Crystal system   cubic
Calculated total energy   -4.188 eV/atom

Lattice parameters (Å, degrees): 6.8409 6.8409 6.8409 90.00 90.00 90.00
Atoms (fractional coordinates):
Dy1 0.0000 0.0000 0.0000
Dy2 0.0000 0.5000 0.5000
Dy3 0.5000 0.0000 0.5000
Dy4 0.5000 0.5000 0.0000
In1 0.0000 0.0000 0.5000
In2 0.0000 0.5000 0.0000
In3 0.5000 0.0000 0.0000
In4 0.5000 0.5000 0.5000
Cu1 0.2500 0.2500 0.2500
Cu2 0.2500 0.7500 0.7500
Cu3 0.7500 0.2500 0.7500
Cu4 0.7500 0.7500 0.2500
Au1 0.2500 0.2500 0.7500
Au2 0.2500 0.7500 0.2500
Au3 0.7500 0.2500 0.2500
Au4 0.7500 0.7500 0.7500

=====

> What is the formula in the third record?

LaDyCuAu

=====

> What is the formation energy from the elements in the first record?

-4.8 eV per formula unit